Cs2CaNi3F12: optimized geometry, GGA+U.

Results
As for the final energy: -232.6 eV/cell.

The structure in CIF format:
```
data_Cs2CaNi3F12
_chemical_formula_sum 'Cs6 Ca3 Ni9 F36'
_symmetry_space_group_name_H-M 'R -3 m'
_symmetry_Int_Tables_number 166
_symmetry_space_group_name_Hall '-R 3 2"'
_cell_length_a 7.4379
_cell_length_b 7.4379
_cell_length_c 18.4234
_cell_angle_alpha 90.00
_cell_angle_beta 90.00
_cell_angle_gamma 120.00
loop_
_atom_site_label
_atom_site_type_symbol
_atom_site_fract_x
_atom_site_fract_y
_atom_site_fract_z
Cs1 Cs 0.0000 0.0000 0.1159
Ca1 Ca 0.0000 0.0000 0.5000
Ni1 Ni 0.0000 0.5000 0.0000
F1 F 0.0302 0.5151 0.1037
F2 F 0.0750 0.5375 0.3410
```